a.
Here is a relaxed structure of SrGe2PSe from the Alexandria database. Energies are from PBE-GGA.

Cell lengths 5.160, 5.160, 5.089 Å; angles 90.00, 90.00, 90.00 degrees
Element x y z (fractional)
Sr  0.000  0.000  0.000
Ge  0.000  0.500  0.500
Ge  0.500  0.000  0.500
P  0.500  0.500  0.000
Se  0.500  0.500  0.500

Properties
- Fermi-level density of states: 4.2 states/eV per cell
- Total moment: 0.000 μB/atom
- Space group: No. 123


b.
Here is a relaxed structure of SrGe2PSe from the Alexandria database. Energies are from PBE-GGA.

Cell lengths 5.879, 5.879, 5.305 Å; angles 90.00, 90.00, 90.00 degrees
Element x y z (fractional)
Sr  0.000  0.000  0.000
Ge  0.000  0.500  0.000
Ge  0.500  0.000  0.000
P  0.000  0.000  0.500
Se  0.500  0.500  0.500

Properties
- Fermi-level density of states: 4.8 states/eV per cell
- Total moment: 0.088 μB/atom
- Space group: No. 123


Verdict on stability: a comes out on top.


a.
Here is a relaxed structure of Si2GeP2 from the Alexandria database. Energies are from PBE-GGA.

Cell lengths 6.981, 6.981, 3.295 Å; angles 90.00, 90.00, 90.00 degrees
Element x y z (fractional)
Si  0.146  0.354  0.000
Si  0.354  0.854  0.000
Si  0.646  0.146  0.000
Si  0.854  0.646  0.000
Ge  0.000  0.000  0.500
Ge  0.500  0.500  0.500
P  0.165  0.665  0.500
P  0.335  0.165  0.500
P  0.665  0.835  0.500
P  0.835  0.335  0.500

Properties
- Fermi-level density of states: 4.3 states/eV per cell
- Total moment: 0.000 μB/atom
- Space group: No. 127


b.
Here is a relaxed structure of Si2GeP2 from the Alexandria database. Energies are from PBE-GGA.

Cell lengths 3.814, 3.814, 12.137 Å; angles 90.00, 90.00, 90.00 degrees
Element x y z (fractional)
Si  0.000  0.500  0.250
Si  0.000  0.500  0.750
Si  0.500  0.000  0.250
Si  0.500  0.000  0.750
Ge  0.000  0.000  0.000
Ge  0.500  0.500  0.500
P  0.000  0.000  0.373
P  0.000  0.000  0.627
P  0.500  0.500  0.127
P  0.500  0.500  0.873

Properties
- Fermi-level density of states: 5.3 states/eV per cell
- Total moment: 0.000 μB/atom
- Space group: No. 139


Verdict on stability: a comes out on top.


a.
Here is a relaxed structure of Si3GeP from the Alexandria database. Energies are from PBE-GGA.

Cell lengths 4.728, 4.728, 4.728 Å; angles 90.00, 90.00, 90.00 degrees
Element x y z (fractional)
Si  0.000  0.000  0.500
Si  0.000  0.500  0.000
Si  0.500  0.000  0.000
Ge  0.000  0.000  0.000
P  0.500  0.500  0.500

Properties
- Fermi-level density of states: 2.7 states/eV per cell
- Total moment: 0.000 μB/atom
- Space group: No. 221


b.
Here is a relaxed structure of Si3GeP from the Alexandria database. Energies are from PBE-GGA.

Cell lengths 4.564, 4.564, 4.564 Å; angles 90.00, 90.00, 90.00 degrees
Element x y z (fractional)
Si  0.000  0.000  0.500
Si  0.000  0.500  0.000
Si  0.500  0.000  0.000
Ge  0.500  0.500  0.500
P  0.000  0.000  0.000

Properties
- Fermi-level density of states: 3.4 states/eV per cell
- Total moment: 0.000 μB/atom
- Space group: No. 221


Verdict on stability: b comes out on top.


a.
Here is a relaxed structure of SnGe2P2 from the Alexandria database. Energies are from PBE-GGA.

Cell lengths 6.762, 6.762, 6.451 Å; angles 101.69, 101.69, 127.00 degrees
Element x y z (fractional)
Sn  0.204  0.796  0.750
Sn  0.796  0.204  0.250
Ge  0.166  0.318  0.965
Ge  0.318  0.166  0.465
Ge  0.682  0.834  0.535
Ge  0.834  0.682  0.035
P  0.285  0.715  0.250
P  0.427  0.573  0.750
P  0.573  0.427  0.250
P  0.715  0.285  0.750

Properties
- Fermi-level density of states: 3.8 states/eV per cell
- Total moment: 0.000 μB/atom
- Space group: No. 15


b.
Here is a relaxed structure of SnGe2P2 from the Alexandria database. Energies are from PBE-GGA.

Cell lengths 3.444, 3.444, 17.033 Å; angles 90.00, 90.00, 90.00 degrees
Element x y z (fractional)
Sn  0.000  0.000  0.000
Sn  0.500  0.500  0.500
Ge  0.000  0.000  0.385
Ge  0.000  0.000  0.615
Ge  0.500  0.500  0.115
Ge  0.500  0.500  0.885
P  0.000  0.500  0.250
P  0.000  0.500  0.750
P  0.500  0.000  0.250
P  0.500  0.000  0.750

Properties
- Fermi-level density of states: 3.8 states/eV per cell
- Total moment: 0.000 μB/atom
- Space group: No. 139


Verdict on stability: a comes out on top.


a.
Here is a relaxed structure of Sr3Ge2P4 from the Alexandria database. Energies are from PBE-GGA.

Cell lengths 7.503, 18.269, 7.313 Å; angles 90.00, 112.05, 90.00 degrees
Element x y z (fractional)
Sr  0.216  0.184  0.011
Sr  0.216  0.316  0.511
Sr  0.256  0.063  0.511
Sr  0.256  0.437  0.011
Sr  0.261  0.559  0.505
Sr  0.261  0.941  0.005
Sr  0.739  0.059  0.995
Sr  0.739  0.441  0.495
Sr  0.744  0.563  0.989
Sr  0.744  0.937  0.489
Sr  0.784  0.684  0.489
Sr  0.784  0.816  0.989
Ge  0.212  0.627  0.027
Ge  0.212  0.873  0.527
Ge  0.314  0.741  0.908
Ge  0.314  0.759  0.408
Ge  0.686  0.241  0.592
Ge  0.686  0.259  0.092
Ge  0.788  0.127  0.473
Ge  0.788  0.373  0.973
P  0.010  0.560  0.757
P  0.010  0.940  0.257
P  0.047  0.685  0.218
P  0.047  0.815  0.718
P  0.491  0.568  0.238
P  0.491  0.932  0.738
P  0.497  0.700  0.718
P  0.497  0.800  0.218
P  0.503  0.200  0.782
P  0.503  0.300  0.282
P  0.509  0.068  0.262
P  0.509  0.432  0.762
P  0.953  0.185  0.282
P  0.953  0.315  0.782
P  0.990  0.060  0.743
P  0.990  0.440  0.243

Properties
- Total moment: 0.000 μB/atom
- Space group: No. 14


b.
Here is a relaxed structure of Sr3Ge2P4 from the Alexandria database. Energies are from PBE-GGA.

Cell lengths 8.559, 8.559, 6.466 Å; angles 90.47, 90.47, 79.96 degrees
Element x y z (fractional)
Sr  0.111  0.889  0.750
Sr  0.248  0.512  0.045
Sr  0.488  0.752  0.455
Sr  0.512  0.248  0.545
Sr  0.752  0.488  0.955
Sr  0.889  0.111  0.250
Ge  0.092  0.324  0.569
Ge  0.324  0.092  0.069
Ge  0.676  0.908  0.931
Ge  0.908  0.676  0.431
P  0.078  0.241  0.919
P  0.228  0.544  0.547
P  0.241  0.078  0.419
P  0.456  0.772  0.953
P  0.544  0.228  0.047
P  0.759  0.922  0.581
P  0.772  0.456  0.453
P  0.922  0.759  0.081

Properties
- Fermi-level density of states: 3.1 states/eV per cell
- Total moment: 0.000 μB/atom
- Space group: No. 15


Verdict on stability: a comes out on top.


a.
Here is a relaxed structure of SrGeP3 from the Alexandria database. Energies are from PBE-GGA.

Cell lengths 4.852, 4.852, 4.852 Å; angles 90.00, 90.00, 90.00 degrees
Element x y z (fractional)
Sr  0.000  0.000  0.000
Ge  0.500  0.500  0.500
P  0.000  0.500  0.500
P  0.500  0.000  0.500
P  0.500  0.500  0.000

Properties
- Fermi-level density of states: 5.1 states/eV per cell
- Total moment: 0.000 μB/atom
- Space group: No. 221


b.
Here is a relaxed structure of SrGeP3 from the Alexandria database. Energies are from PBE-GGA.

Cell lengths 5.357, 5.357, 5.357 Å; angles 90.00, 90.00, 90.00 degrees
Element x y z (fractional)
Sr  0.000  0.000  0.000
Ge  0.500  0.500  0.500
P  0.000  0.000  0.500
P  0.000  0.500  0.000
P  0.500  0.000  0.000

Properties
- Fermi-level density of states: 4.5 states/eV per cell
- Total moment: 0.000 μB/atom
- Space group: No. 221


Verdict on stability: a comes out on top.


a.
Here is a relaxed structure of Ta2GeP2 from the Alexandria database. Energies are from PBE-GGA.

Cell lengths 3.476, 3.476, 13.265 Å; angles 90.00, 90.00, 90.00 degrees
Element x y z (fractional)
Ta  0.000  0.000  0.110
Ta  0.000  0.000  0.890
Ta  0.500  0.500  0.390
Ta  0.500  0.500  0.610
Ge  0.000  0.000  0.500
Ge  0.500  0.500  0.000
P  0.000  0.500  0.250
P  0.000  0.500  0.750
P  0.500  0.000  0.250
P  0.500  0.000  0.750

Properties
- Fermi-level density of states: 7.3 states/eV per cell
- Total moment: 0.000 μB/atom
- Space group: No. 139


b.
Here is a relaxed structure of Ta2GeP2 from the Alexandria database. Energies are from PBE-GGA.

Cell lengths 7.125, 7.125, 3.198 Å; angles 90.00, 90.00, 90.00 degrees
Element x y z (fractional)
Ta  0.151  0.349  0.000
Ta  0.349  0.849  0.000
Ta  0.651  0.151  0.000
Ta  0.849  0.651  0.000
Ge  0.000  0.000  0.000
Ge  0.500  0.500  0.000
P  0.138  0.638  0.500
P  0.362  0.138  0.500
P  0.638  0.862  0.500
P  0.862  0.362  0.500

Properties
- Fermi-level density of states: 3.1 states/eV per cell
- Total moment: 0.000 μB/atom
- Space group: No. 127


Verdict on stability: b comes out on top.


a.
Here is a relaxed structure of TaGeP3 from the Alexandria database. Energies are from PBE-GGA.

Cell lengths 4.823, 4.823, 4.823 Å; angles 90.00, 90.00, 90.00 degrees
Element x y z (fractional)
Ta  0.000  0.000  0.000
Ge  0.500  0.500  0.500
P  0.000  0.000  0.500
P  0.000  0.500  0.000
P  0.500  0.000  0.000

Properties
- Fermi-level density of states: 3.1 states/eV per cell
- Total moment: 0.000 μB/atom
- Space group: No. 221


b.
Here is a relaxed structure of TaGeP3 from the Alexandria database. Energies are from PBE-GGA.

Cell lengths 4.551, 4.551, 4.551 Å; angles 90.00, 90.00, 90.00 degrees
Element x y z (fractional)
Ta  0.000  0.000  0.000
Ge  0.500  0.500  0.500
P  0.000  0.500  0.500
P  0.500  0.000  0.500
P  0.500  0.500  0.000

Properties
- Fermi-level density of states: 4.8 states/eV per cell
- Total moment: 0.000 μB/atom
- Space group: No. 221


Verdict on stability: a comes out on top.


a.
Here is a relaxed structure of Ge2TeP from the Alexandria database. Energies are from PBE-GGA.

Cell lengths 3.804, 3.804, 22.656 Å; angles 90.00, 90.00, 120.00 degrees
Element x y z (fractional)
Ge  0.000  0.000  0.000
Ge  0.000  0.000  0.198
Ge  0.333  0.667  0.667
Ge  0.333  0.667  0.864
Ge  0.667  0.333  0.333
Ge  0.667  0.333  0.531
Te  0.000  0.000  0.406
Te  0.333  0.667  0.073
Te  0.667  0.333  0.740
P  0.000  0.000  0.582
P  0.333  0.667  0.249
P  0.667  0.333  0.916

Properties
- Fermi-level density of states: 4.3 states/eV per cell
- Total moment: 0.000 μB/atom
- Space group: No. 160


b.
Here is a relaxed structure of Ge2TeP from the Alexandria database. Energies are from PBE-GGA.

Cell lengths 6.817, 6.817, 8.848 Å; angles 90.00, 90.00, 90.00 degrees
Element x y z (fractional)
Ge  0.204  0.250  0.125
Ge  0.250  0.704  0.375
Ge  0.250  0.796  0.875
Ge  0.296  0.250  0.625
Ge  0.704  0.750  0.625
Ge  0.750  0.204  0.875
Ge  0.750  0.296  0.375
Ge  0.796  0.750  0.125
Te  0.000  0.000  0.500
Te  0.000  0.500  0.750
Te  0.500  0.000  0.250
Te  0.500  0.500  0.000
P  0.000  0.000  0.000
P  0.000  0.500  0.250
P  0.500  0.000  0.750
P  0.500  0.500  0.500

Properties
- Fermi-level density of states: 7.4 states/eV per cell
- Total moment: 0.000 μB/atom
- Space group: No. 122


c.
Here is a relaxed structure of Ge2TeP from the Alexandria database. Energies are from PBE-GGA.

Cell lengths 6.934, 6.934, 6.934 Å; angles 90.00, 90.00, 90.00 degrees
Element x y z (fractional)
Ge  0.250  0.250  0.250
Ge  0.250  0.250  0.750
Ge  0.250  0.750  0.250
Ge  0.250  0.750  0.750
Ge  0.750  0.250  0.250
Ge  0.750  0.250  0.750
Ge  0.750  0.750  0.250
Ge  0.750  0.750  0.750
Te  0.000  0.000  0.000
Te  0.000  0.500  0.500
Te  0.500  0.000  0.500
Te  0.500  0.500  0.000
P  0.000  0.000  0.500
P  0.000  0.500  0.000
P  0.500  0.000  0.000
P  0.500  0.500  0.500

Properties
- Fermi-level density of states: 11.0 states/eV per cell
- Total moment: 0.000 μB/atom
- Space group: No. 225


d.
Here is a relaxed structure of Ge2TeP from the Alexandria database. Energies are from PBE-GGA.

Cell lengths 4.703, 4.703, 20.921 Å; angles 90.00, 90.00, 120.00 degrees
Element x y z (fractional)
Ge  0.000  0.000  0.106
Ge  0.000  0.000  0.894
Ge  0.333  0.667  0.561
Ge  0.333  0.667  0.773
Ge  0.667  0.333  0.227
Ge  0.667  0.333  0.439
Te  0.000  0.000  0.500
Te  0.333  0.667  0.167
Te  0.667  0.333  0.833
P  0.000  0.000  0.000
P  0.333  0.667  0.667
P  0.667  0.333  0.333

Properties
- Fermi-level density of states: 8.9 states/eV per cell
- Total moment: 0.000 μB/atom
- Space group: No. 166


Verdict on stability: a comes out on top.


a.
Here is a relaxed structure of Th2GeP from the Alexandria database. Energies are from PBE-GGA.

Cell lengths 4.133, 4.133, 21.972 Å; angles 90.00, 90.00, 120.00 degrees
Element x y z (fractional)
Th  0.000  0.000  0.000
Th  0.000  0.000  0.170
Th  0.333  0.667  0.667
Th  0.333  0.667  0.837
Th  0.667  0.333  0.333
Th  0.667  0.333  0.503
Ge  0.000  0.000  0.584
Ge  0.333  0.667  0.251
Ge  0.667  0.333  0.917
P  0.000  0.000  0.753
P  0.333  0.667  0.420
P  0.667  0.333  0.086

Properties
- Fermi-level density of states: 10.9 states/eV per cell
- Total moment: 0.000 μB/atom
- Space group: No. 160


b.
Here is a relaxed structure of Th2GeP from the Alexandria database. Energies are from PBE-GGA.

Cell lengths 9.457, 9.457, 7.311 Å; angles 104.89, 104.89, 126.96 degrees
Element x y z (fractional)
Th  0.059  0.434  0.756
Th  0.185  0.310  0.245
Th  0.310  0.185  0.745
Th  0.434  0.059  0.256
Th  0.566  0.941  0.744
Th  0.690  0.815  0.255
Th  0.815  0.690  0.755
Th  0.941  0.566  0.244
Ge  0.188  0.812  0.750
Ge  0.437  0.563  0.750
Ge  0.563  0.437  0.250
Ge  0.812  0.188  0.250
P  0.062  0.938  0.250
P  0.313  0.687  0.250
P  0.687  0.313  0.750
P  0.938  0.062  0.750

Properties
- Fermi-level density of states: 10.0 states/eV per cell
- Total moment: 0.000 μB/atom
- Space group: No. 15


Verdict on stability: b comes out on top.


a.
Here is a relaxed structure of TiGeP3 from the Alexandria database. Energies are from PBE-GGA.

Cell lengths 4.702, 4.702, 4.702 Å; angles 90.00, 90.00, 90.00 degrees
Element x y z (fractional)
Ti  0.000  0.000  0.000
Ge  0.500  0.500  0.500
P  0.000  0.000  0.500
P  0.000  0.500  0.000
P  0.500  0.000  0.000

Properties
- Fermi-level density of states: 3.4 states/eV per cell
- Total moment: 0.000 μB/atom
- Space group: No. 221


b.
Here is a relaxed structure of TiGeP3 from the Alexandria database. Energies are from PBE-GGA.

Cell lengths 4.617, 4.617, 4.617 Å; angles 90.00, 90.00, 90.00 degrees
Element x y z (fractional)
Ti  0.000  0.000  0.000
Ge  0.500  0.500  0.500
P  0.000  0.500  0.500
P  0.500  0.000  0.500
P  0.500  0.500  0.000

Properties
- Fermi-level density of states: 5.5 states/eV per cell
- Total moment: 0.000 μB/atom
- Space group: No. 221


Verdict on stability: a comes out on top.